# 1
## InSnN2F (PBEsol)

Data for a geometry-optimized InSnN2F structure.

## Properties
**Uncorrected formation energy**: 0.119 eV/atom
**Energy**: -5.13 eV per atom

Cell lengths 4.144, 4.144, 4.056 Å; angles 90.00, 90.00, 90.00 degrees
Space group P4/mmm (No. 123)
Unique sites:
In 0.000 0.000 0.000
Sn 0.500 0.500 0.500
N 0.000 0.500 0.500
F 0.500 0.500 0.000

---

# 2
## Zr2BeAu (PBEsol)

Data for a geometry-optimized Zr2BeAu structure.

## Properties
**Energy of formation from the pure elements**: -0.576 eV/f.u.
**Energy**: -6.67 eV per atom

Cell lengths 3.955, 3.955, 8.920 Å; angles 90.00, 90.00, 90.00 degrees
Space group I-4m2 (No. 119)
Unique sites:
Zr 0.000 0.000 0.000
Zr 0.000 0.500 0.250
Be 0.000 0.500 0.750
Au 0.000 0.000 0.500